Entry 1:
Below is a geometry-optimized Np2Cu2S5 structure, with properties calculated at the GGA-PBE level.

The structure in extended XYZ format:
```
9
Lattice="3.807 0.000 1.158 1.244 6.157 2.748 -0.379 -0.717 8.087" Properties=species:S:1:pos:R:3 pbc="T T T"
Np 1.606 1.200 8.395
Np 3.065 4.240 3.598
Cu 0.606 1.454 4.847
Cu 4.066 3.986 7.147
S 2.337 4.751 5.992
S 2.334 0.690 6.001
S 1.205 2.435 2.877
S 3.467 3.006 9.117
S 0.000 0.000 0.000
```

Summary:
The value obtained for the uncorrected energy is -0.2547 Ha/atom. Its calculated volume is 22.083 Å³/atom. Its energy relative to the elements, uncorrected is -0.85 eV per atom. The space-group type is C2/m.


Entry 2:
Below is a geometry-optimized NpCuS4 structure, with properties calculated at the GGA-PBE level.

The structure in extended XYZ format:
```
12
Lattice="-0.286 0.453 5.392 -2.077 -4.891 -1.060 7.729 -3.433 0.698" Properties=species:S:1:pos:R:3 pbc="T T T"
Np 4.783 -4.480 2.383
Np 0.584 -3.391 2.646
Cu 3.585 -6.729 4.579
Cu 1.781 -1.141 0.451
S 1.582 -0.948 3.609
S 3.784 -6.923 1.420
S 0.555 -4.014 -0.093
S 4.812 -3.857 5.122
S 2.465 -5.073 3.518
S -0.336 -1.359 1.219
S 5.703 -6.511 3.810
S 2.902 -2.798 1.512
```

Summary:
The value obtained for the uncorrected energy is -0.2229 Ha/atom. Its calculated volume is 20.099 Å³/atom. Its energy relative to the elements, uncorrected is -0.47 eV per atom. The space-group type is Cmcm.


Entry 3:
Below is a geometry-optimized NpCu3S4 structure, with properties calculated at the GGA-PBE level.

The structure in extended XYZ format:
```
8
Lattice="-0.767 -3.547 -0.264 5.766 -1.447 2.687 -5.586 0.870 4.536" Properties=species:S:1:pos:R:3 pbc="T T T"
Np -0.384 -1.773 -0.132
S 0.713 -0.307 2.049
S -0.533 -0.271 5.174
S -3.573 0.493 3.757
S 3.753 -1.070 3.466
Cu 2.883 -0.724 1.344
Cu -1.379 0.075 3.000
Cu 1.559 -0.652 4.223
```

Summary:
The value obtained for the uncorrected energy is -0.2086 Ha/atom. Its calculated volume is 19.206 Å³/atom. Its energy relative to the elements, uncorrected is -0.46 eV per atom. The space-group type is Cmmm.


Entry 4:
Below is a geometry-optimized Np5CuS8 structure, with properties calculated at the GGA-PBE level.

The structure in extended XYZ format:
```
14
Lattice="-4.020 0.362 5.877 2.675 -6.563 -0.778 5.262 4.762 0.682" Properties=species:S:1:pos:R:3 pbc="T T T"
Np 1.671 -1.819 -0.140
Np 0.131 -4.287 4.569
Np 1.960 -0.800 4.409
Np 0.621 2.562 3.279
Np 4.073 4.030 2.724
Cu 4.279 0.381 1.592
S 1.526 -4.740 0.282
S 0.207 2.997 6.151
S -0.531 0.386 4.459
S 3.120 1.841 4.109
S 0.967 -2.577 2.570
S 4.432 -1.461 3.436
S 1.670 0.329 1.693
S 4.279 -2.526 0.424
```

Summary:
The value obtained for the uncorrected energy is -0.3127 Ha/atom. Its calculated volume is 19.912 Å³/atom. Its energy relative to the elements, uncorrected is -1.24 eV per atom. The space-group type is I-4.


Entry 5:
Below is a geometry-optimized NpCu2S4 structure, with properties calculated at the GGA-PBE level.

The structure in extended XYZ format:
```
14
Lattice="7.828 0.000 0.000 3.914 5.944 -0.173 3.914 1.771 5.677" Properties=species:S:1:pos:R:3 pbc="T T T"
Np 1.957 2.972 -0.087
Np 5.871 2.972 -0.087
Cu 3.914 2.625 4.079
Cu 3.914 0.000 0.000
Cu 7.828 3.858 2.752
Cu 11.742 5.090 1.425
S 3.914 2.435 1.606
S 7.828 6.169 4.531
S 6.307 2.652 4.098
S 9.349 2.652 4.098
S 6.307 5.063 1.405
S 7.828 1.547 0.972
S 9.349 5.063 1.405
S 11.742 5.280 3.898
```

Summary:
The value obtained for the uncorrected energy is -0.2194 Ha/atom. Its calculated volume is 19.037 Å³/atom. Its energy relative to the elements, uncorrected is -0.59 eV per atom. The space-group type is Imma.


Entry 6:
Below is a geometry-optimized NpCu3S3 structure, with properties calculated at the GGA-PBE level.

The structure in extended XYZ format:
```
14
Lattice="5.971 0.000 3.040 2.212 5.546 3.040 -0.058 -0.039 7.498" Properties=species:S:1:pos:R:3 pbc="T T T"
Np 2.672 1.811 9.519
Np 5.452 3.695 4.059
Cu 4.473 4.339 8.509
Cu 4.930 0.650 7.469
Cu 1.716 2.547 6.487
Cu 6.409 2.959 7.091
Cu 3.194 4.857 6.109
Cu 3.652 1.168 5.069
S 2.759 3.214 4.426
S 6.005 1.373 5.444
S 5.481 5.070 6.453
S 2.643 0.437 7.125
S 2.119 4.134 8.134
S 5.365 2.293 9.151
```

Summary:
The value obtained for the uncorrected energy is -0.2196 Ha/atom. Its calculated volume is 17.838 Å³/atom. Its energy relative to the elements, uncorrected is -0.60 eV per atom. The space-group type is R-3.